The following is a DFT calculation (GGA+U) of a relaxed Li2V3CrO8 crystal.

Calculated values
* space group: Cc, No. 9
* electronic total energy: -102.10 eV/f.u.
* relative energy among the computed polymorphs: 19 meV per atom

Lattice parameters (Å, degrees): 5.931 5.931 9.599 89.52 89.52 120.57
Site moments in Bohr magnetons follow the coordinates.
Sites, in units of the cell vectors:
Li 0.667 0.336 0.894  0.00
Li 0.988 0.998 0.996  0.00
Li 0.998 0.988 0.496  0.00
Li 0.336 0.667 0.394  0.00
V 0.341 0.172 0.211  1.83
V 0.830 0.664 0.214  1.11
V 0.831 0.170 0.214  1.11
V 0.170 0.831 0.714  1.11
V 0.172 0.341 0.711  1.83
V 0.664 0.830 0.714  1.11
Cr 0.672 0.331 0.485  3.03
Cr 0.331 0.672 0.985  3.03
O 0.326 0.147 0.601  -0.05
O 0.534 0.489 0.341  -0.07
O 0.677 0.341 0.103  -0.01
O 0.996 0.999 0.311  0.00
O 0.999 0.996 0.811  0.00
O 0.834 0.664 0.608  -0.04
O 0.532 0.041 0.338  -0.06
O 0.964 0.483 0.339  -0.03
O 0.146 0.828 0.101  -0.06
O 0.828 0.146 0.601  -0.06
O 0.041 0.532 0.838  -0.06
O 0.483 0.964 0.839  -0.03
O 0.341 0.677 0.603  -0.01
O 0.147 0.326 0.101  -0.05
O 0.489 0.534 0.841  -0.07
O 0.664 0.834 0.108  -0.04